Entry 1:
# Li4Cr2Co3Sn3O16

A relaxed Li4Cr2Co3Sn3O16 crystal (PBEsol, the Alexandria database).

Unit cell a=5.915 b=5.915 c=9.186 alpha=89.35 beta=89.35 gamma=59.89
Each line ends with the local moment (μB).
Atoms (fractional coordinates):
O  0.682  0.682  0.093  0.02
Co  0.169  0.660  0.714  0.00
O  0.990  0.990  0.317  0.02
Li  0.871  0.871  0.963  -0.01
Li  0.341  0.341  0.400  -0.01
O  0.535  0.960  0.347  0.01
O  0.987  0.987  0.813  -0.01
Sn  0.835  0.337  0.208  0.05
O  0.476  0.476  0.832  -0.01
O  0.331  0.822  0.598  -0.06
Co  0.831  0.831  0.219  0.00
O  0.040  0.502  0.848  -0.01
Cr  0.341  0.341  0.986  0.00
O  0.822  0.331  0.598  -0.02
O  0.828  0.828  0.612  -0.01
Cr  0.672  0.672  0.497  0.00
O  0.502  0.040  0.848  -0.01
Sn  0.337  0.835  0.208  2.54
Sn  0.167  0.167  0.720  -0.06
Co  0.660  0.169  0.714  2.39
Li  0.985  0.985  0.507  -0.02
O  0.960  0.535  0.347  0.01
O  0.156  0.667  0.100  -0.09
Li  0.658  0.658  0.867  0.01
O  0.523  0.523  0.352  0.02
O  0.176  0.176  0.092  0.01
O  0.667  0.156  0.100  -0.01
O  0.342  0.342  0.610  0.00

Output
DOS(E_F)	0.237	states/eV per atom
DFT total energy	-6.91	eV/atom

Entry 2:
# Li4Cr3Co3Te2O16

A relaxed Li4Cr3Co3Te2O16 crystal (PBEsol, the Alexandria database).

Unit cell a=5.811 b=5.730 c=9.679 alpha=89.55 beta=90.00 gamma=120.47
Each line ends with the local moment (μB).
Atoms (fractional coordinates):
O  0.511  0.023  0.180  -0.06
O  0.486  0.972  0.670  -0.06
Cr  0.828  0.657  0.281  2.45
O  0.662  0.324  0.388  0.00
O  0.002  0.004  0.692  -0.02
Li  0.005  0.009  0.008  0.00
Te  0.333  0.666  0.502  -0.02
Co  0.339  0.168  0.284  0.00
O  0.156  0.847  0.398  -0.03
O  0.026  0.512  0.670  -0.06
Cr  0.658  0.827  0.783  2.44
O  0.334  0.667  0.892  0.01
Cr  0.169  0.827  0.783  2.44
O  0.690  0.847  0.398  -0.03
Li  0.666  0.332  0.597  0.00
O  0.486  0.512  0.670  -0.06
Co  0.829  0.168  0.284  0.00
O  0.160  0.319  0.390  -0.03
Co  0.171  0.341  0.784  0.01
Li  0.329  0.658  0.102  0.00
O  0.842  0.683  0.904  -0.02
Te  0.662  0.324  0.008  -0.02
O  0.516  0.482  0.167  -0.05
O  0.311  0.162  0.895  -0.03
Li  0.005  0.010  0.506  0.00
O  0.004  0.008  0.193  -0.01
O  0.966  0.482  0.167  -0.05
O  0.850  0.162  0.895  -0.03

Output
DOS(E_F)	0.212	states/eV per atom
DFT total energy	-7.01	eV/atom

Entry 3:
# Li4Cr3Co3W2O16

A relaxed Li4Cr3Co3W2O16 crystal (PBEsol, the Alexandria database).

Unit cell a=5.772 b=5.772 c=9.477 alpha=90.58 beta=90.58 gamma=59.86
Each line ends with the local moment (μB).
Atoms (fractional coordinates):
Cr  0.171  0.171  0.714  0.00
O  0.487  0.487  0.868  0.00
Cr  0.831  0.336  0.214  0.00
Co  0.190  0.650  0.717  2.67
Li  0.336  0.336  0.401  0.00
O  0.844  0.346  0.586  2.60
O  0.154  0.659  0.098  0.03
O  0.997  0.997  0.307  2.24
O  0.520  0.520  0.340  0.33
Co  0.828  0.828  0.213  0.00
O  0.165  0.165  0.097  0.01
Li  0.672  0.672  0.908  0.15
Li  0.999  0.999  0.495  0.11
Cr  0.336  0.831  0.214  0.00
Co  0.650  0.190  0.717  2.67
O  0.832  0.832  0.582  0.01
Li  0.994  0.994  0.988  0.00
W  0.333  0.333  0.987  0.05
O  0.961  0.523  0.335  0.03
O  0.665  0.665  0.110  2.24
O  0.036  0.468  0.850  0.03
O  0.996  0.996  0.799  0.23
O  0.659  0.154  0.098  -0.01
W  0.672  0.672  0.488  0.05
O  0.468  0.036  0.850  0.12
O  0.346  0.844  0.586  0.25
O  0.334  0.334  0.607  -0.01
O  0.523  0.961  0.335  -0.01

Output
DOS(E_F)	0.247	states/eV per atom
DFT total energy	-7.97	eV/atom

Entry 4:
# LiCr2CoOs

A relaxed LiCr2CoOs crystal (PBEsol, the Alexandria database).

Unit cell a=3.698 b=3.866 c=3.866 alpha=90.00 beta=90.00 gamma=90.00
Atoms (fractional coordinates):
Os  0.500  0.500  0.500
Li  0.000  0.000  0.000
Co  0.500  0.000  0.000
Cr  0.000  0.000  0.500
Cr  0.000  0.500  0.000

Output
DOS(E_F)	1.106	states/eV per atom
DFT total energy	-7.33	eV/atom

Entry 5:
# RbLi2CrCo

A relaxed RbLi2CrCo crystal (PBEsol, the Alexandria database).

Unit cell a=5.191 b=5.191 c=6.221 alpha=90.00 beta=90.00 gamma=90.00
Each line ends with the local moment (μB).
Atoms (fractional coordinates):
Co  0.500  0.500  0.500  2.12
Rb  0.000  0.000  0.500  0.03
Li  0.000  0.500  0.000  0.02
Cr  0.000  0.000  0.000  4.22
Li  0.500  0.000  0.000  0.02

Output
DOS(E_F)	0.470	states/eV per atom
DFT total energy	-3.00	eV/atom

Entry 6:
# MgCr2Co

A relaxed MgCr2Co crystal (PBEsol, the Alexandria database).

Unit cell a=3.391 b=3.391 c=4.808 alpha=110.65 beta=110.65 gamma=90.00
Atoms (fractional coordinates):
Cr  0.750  0.250  0.500
Cr  0.250  0.750  0.500
Co  0.000  0.000  0.000
Mg  0.500  0.500  0.000

Output
DOS(E_F)	1.242	states/eV per atom
DFT total energy	-7.04	eV/atom

Entry 7:
# MgCrCo

A relaxed MgCrCo crystal (PBEsol, the Alexandria database).

Unit cell a=3.932 b=3.932 c=3.932 alpha=60.00 beta=60.00 gamma=60.00
Each line ends with the local moment (μB).
Atoms (fractional coordinates):
Co  0.250  0.250  0.250  -0.05
Mg  0.500  0.500  0.500  0.00
Cr  0.000  0.000  0.000  0.53

Output
DOS(E_F)	1.525	states/eV per atom
energy relative to the lowest polymorph listed for this composition	283	meV per atom

Entry 8:
# MgCr2Co

A relaxed MgCr2Co crystal (PBEsol, the Alexandria database).

Unit cell a=2.828 b=3.960 c=4.905 alpha=113.78 beta=106.76 gamma=90.00
Each line ends with the local moment (μB).
Atoms (fractional coordinates):
Co  0.000  0.500  0.000  0.13
Cr  0.262  0.263  0.525  0.02
Mg  0.500  0.000  0.000  0.00
Cr  0.738  0.737  0.475  0.02

Output
DOS(E_F)	0.960	states/eV per atom
DFT total energy	-7.15	eV/atom

Entry 9:
# Mg2CrCo

A relaxed Mg2CrCo crystal (PBEsol, the Alexandria database).

Unit cell a=2.937 b=4.553 c=5.304 alpha=115.42 beta=106.07 gamma=90.00
Each line ends with the local moment (μB).
Atoms (fractional coordinates):
Co  0.480  0.480  0.961  0.56
Mg  0.008  0.008  0.016  -0.02
Mg  0.223  0.723  0.447  0.00
Cr  0.788  0.288  0.576  2.38

Output
DOS(E_F)	1.253	states/eV per atom
energy relative to the lowest polymorph listed for this composition	0	meV per atom

Entry 10:
# Mg2CrCo

A relaxed Mg2CrCo crystal (PBEsol, the Alexandria database).

Unit cell a=2.711 b=2.711 c=9.073 alpha=81.41 beta=81.41 gamma=60.00
Each line ends with the local moment (μB).
Atoms (fractional coordinates):
Co  0.500  0.500  0.500  1.37
Mg  0.753  0.753  0.740  0.00
Mg  0.247  0.247  0.260  0.00
Cr  0.000  0.000  0.000  0.33

Output
DOS(E_F)	1.335	states/eV per atom
energy relative to the lowest polymorph listed for this composition	189	meV per atom

Entry 11:
# MgCr2Co

A relaxed MgCr2Co crystal (PBEsol, the Alexandria database).

Unit cell a=2.510 b=2.510 c=7.915 alpha=90.00 beta=90.00 gamma=97.02
Atoms (fractional coordinates):
Cr  0.000  0.000  0.216
Cr  0.000  0.000  0.784
Co  0.500  0.500  0.000
Mg  0.500  0.500  0.500

Output
DOS(E_F)	1.119	states/eV per atom
DFT total energy	-7.07	eV/atom

Entry 12:
# Mg2CrCo

A relaxed Mg2CrCo crystal (PBEsol, the Alexandria database).

Unit cell a=2.599 b=2.599 c=8.553 alpha=90.00 beta=90.00 gamma=101.93
Each line ends with the local moment (μB).
Atoms (fractional coordinates):
Co  0.500  0.500  0.500  1.43
Mg  0.000  0.000  0.259  -0.01
Cr  0.500  0.500  0.000  0.18
Mg  0.000  0.000  0.741  -0.01

Output
DOS(E_F)	1.050	states/eV per atom
energy relative to the lowest polymorph listed for this composition	125	meV per atom

Question: Look up the DOS(E_F) of the third one.
Answer: 0.247 states/eV per atom